# CoCuIO2 | Alexandria via LeMat-Bulk | GGA+U | optimized geometry
data_CoCuIO2
_cell_length_a 3.679
_cell_length_b 3.679
_cell_length_c 6.237
_cell_angle_alpha 90.00
_cell_angle_beta 90.00
_cell_angle_gamma 90.00
_symmetry_space_group_name_H-M 'P 1'
_symmetry_Int_Tables_number 1
_symmetry_space_group_name_Hall 'P 1'
loop_
_atom_site_label
_atom_site_fract_x
_atom_site_fract_y
_atom_site_fract_z
_atom_site_occupancy
Co1 0.000 0.000 0.000 1
Cu1 0.500 0.500 0.500 1
I1 0.000 0.000 0.500 1
O1 0.000 0.500 0.000 1
O2 0.500 0.000 0.000 1
# **Final energy**: -20.80 eV per formula unit


# CoCuIO6 | Alexandria via LeMat-Bulk | GGA+U | optimized geometry
data_CoCuIO6
_cell_length_a 4.565
_cell_length_b 4.565
_cell_length_c 9.054
_cell_angle_alpha 90.00
_cell_angle_beta 90.00
_cell_angle_gamma 90.00
_symmetry_space_group_name_H-M 'P 1'
_symmetry_Int_Tables_number 1
_symmetry_space_group_name_Hall 'P 1'
loop_
_atom_site_label
_atom_site_fract_x
_atom_site_fract_y
_atom_site_fract_z
_atom_site_occupancy
Co1 0.000 0.000 0.000 1
Co2 0.500 0.500 0.500 1
Cu1 0.000 0.000 0.667 1
Cu2 0.500 0.500 0.167 1
I1 0.000 0.000 0.334 1
I2 0.500 0.500 0.834 1
O1 0.189 0.189 0.165 1
O2 0.197 0.197 0.837 1
O3 0.199 0.199 0.496 1
O4 0.301 0.699 0.996 1
O5 0.303 0.697 0.337 1
O6 0.311 0.689 0.665 1
O7 0.689 0.311 0.665 1
O8 0.697 0.303 0.337 1
O9 0.699 0.301 0.996 1
O10 0.801 0.801 0.496 1
O11 0.803 0.803 0.837 1
O12 0.811 0.811 0.165 1
# **Final energy**: -44.26 eV per formula unit


# CoCuI2O8 | Alexandria via LeMat-Bulk | GGA+U | optimized geometry
data_CoCuI2O8
_cell_length_a 5.967
_cell_length_b 5.967
_cell_length_c 5.967
_cell_angle_alpha 111.74
_cell_angle_beta 111.74
_cell_angle_gamma 105.01
_symmetry_space_group_name_H-M 'P 1'
_symmetry_Int_Tables_number 1
_symmetry_space_group_name_Hall 'P 1'
loop_
_atom_site_label
_atom_site_fract_x
_atom_site_fract_y
_atom_site_fract_z
_atom_site_occupancy
Co1 0.000 0.000 0.000 1
Cu1 0.750 0.250 0.500 1
I1 0.250 0.750 0.500 1
I2 0.500 0.500 0.000 1
O1 0.085 0.369 0.284 1
O2 0.085 0.802 0.716 1
O3 0.122 0.338 0.785 1
O4 0.198 0.915 0.284 1
O5 0.553 0.338 0.215 1
O6 0.631 0.915 0.716 1
O7 0.662 0.447 0.785 1
O8 0.662 0.878 0.215 1
# **Final energy**: -53.52 eV per formula unit


Which of these has the highest final energy? CoCuIO2